A plane-wave DFT calculation with PBE-GGA was carried out for an optimized crystal structure of PmDyNi2.

E ... -22.19 eV per formula unit
Formation energy ... -0.3178 eV per atom
Polymorph energy (0 for the lowest one) ... 0.082 eV/atom

```
data_PmDyNi2
_cell_length_a 4.872
_cell_length_b 4.872
_cell_length_c 3.372
_cell_angle_alpha 90.00
_cell_angle_beta 90.00
_cell_angle_gamma 90.00
_space_group_name_H-M_alt 'P 4/m m m'
_space_group_IT_number 123
_space_group_name_Hall '-P 4 2'
loop_
_atom_site_label
_atom_site_type_symbol
_atom_site_fract_x
_atom_site_fract_y
_atom_site_fract_z
Pm1 Pm 0.000 0.000 0.000
Dy1 Dy 0.500 0.500 0.000
Ni1 Ni 0.000 0.500 0.500
```